No. 1
Here is an optimized crystal structure of Th4TeOsSe2 from the Alexandria database. Energies are from GGA-PBE.

Calculated values
Symmetry   P2/m (10)

abc: 7.440 4.165 7.715
angles: 90.00 108.34 90.00
Fractional coordinates of all 8 atoms:
1 Th 0.224 0.000 0.215
2 Th 0.254 0.500 0.776
3 Th 0.746 0.500 0.224
4 Th 0.776 0.000 0.785
5 Te 0.000 0.000 0.500
6 Os 0.000 0.500 0.000
7 Se 0.500 0.000 0.000
8 Se 0.500 0.500 0.500



No. 2
Here is an optimized crystal structure of SiIrBr2 from the Alexandria database. Energies are from GGA-PBE.

Calculated values
Energy above the most stable polymorph in this dataset   917.7 meV/atom
Symmetry   Fmmm (69)

abc: 5.557 5.133 4.284
angles: 71.69 61.27 47.04
Fractional coordinates of all 4 atoms:
1 Si 0.000 0.000 0.000
2 Ir 0.500 0.500 0.500
3 Br 0.000 0.500 0.500
4 Br 0.500 0.000 0.000



no.,ΔE_f (raw) (eV/atom)
1,-1.14
2,0.74